## LiAcTb2Au4 (PBE-GGA)

Data for an optimized crystal structure of LiAcTb2Au4.

Cell and atoms, written as CIF:
```
data_LiAcTb2Au4
_chemical_formula_sum 'Li3 Ac3 Tb6 Au12'
_space_group_name_H-M_alt 'R -3 m'
_space_group_IT_number 166
_space_group_name_Hall '-R 3 2"'
_cell_length_a 5.0336
_cell_length_b 5.0336
_cell_length_c 26.6805
_cell_angle_alpha 90.00
_cell_angle_beta 90.00
_cell_angle_gamma 120.00
loop_
_atom_site_label
_atom_site_fract_x
_atom_site_fract_y
_atom_site_fract_z
Li1 0.0000 0.0000 0.0000
Ac1 0.0000 0.0000 0.5000
Tb1 0.0000 0.0000 0.2678
Au1 0.0000 0.0000 0.1024
Au2 0.0000 0.0000 0.3790
```

Calculated values
N(E_F)   15.8 states/eV per cell
Energy of formation from the pure elements   -0.744 eV per atom